# GaPbS2 (PBE, optimized geometry)
data_GaPbS2
_cell_length_a 8.1804
_cell_length_b 8.1804
_cell_length_c 8.1804
_cell_angle_alpha 30.58
_cell_angle_beta 30.58
_cell_angle_gamma 30.58
_symmetry_space_group_name_H-M 'P 1'
_symmetry_Int_Tables_number 1
loop_
_symmetry_equiv_pos_as_xyz
'x,y,z'
loop_
_atom_site_label
_atom_site_type_symbol
_atom_site_fract_x
_atom_site_fract_y
_atom_site_fract_z
S1 S 0.0962 0.0962 0.0962
S2 S 0.9038 0.9038 0.9038
Pb1 Pb 0.5000 0.5000 0.5000
Ga1 Ga 0.0000 0.0000 0.0000
# Space group: R-3m, No. 166
# Volume: 125.57 Å³/f.u.
# Total energy: -3.8821 eV per atom